[1]
Computed, not measured: Ag5Te4AsI2 after structural relaxation at the PBE level of DFT.

## Properties
For the uncorrected energy, the calculation gives -70.7 eV per cell. The uncorrected formation energy is -0.07 eV per atom.

a b c (Å): 8.4690 12.7718 6.9045
angles (deg): 90.00 90.00 90.00
With the nearest neighbours (Å) after each atom.
Space group Amm2 (No. 38)
Asymmetric unit:
Ag  0.0000  0.0000  0.0000 (multiplicity 2)  2 Te 2.80, 2 I 2.91
Ag  0.2793  0.1885  0.4731 (multiplicity 8)  3 Te 2.79-3.09, 1 I 2.92
Te  0.2457  0.0000  0.2717 (multiplicity 4)  1 As 2.61, 3 Ag 2.79-2.80
Te  0.5000  0.1688  0.8280 (multiplicity 4)  1 As 2.67, 2 Ag 2.80
As  0.5000  0.0000  0.0570 (multiplicity 2)  4 Te 2.61-2.67
I  0.0000  0.1695  0.7180 (multiplicity 4)  3 Ag 2.91-2.92


[2]
Computed, not measured: AgTe2AsI after structural relaxation at the PBE level of DFT.

## Properties
For the uncorrected energy, the calculation gives -11.6 eV per cell. The value obtained for the relative energy among the computed polymorphs is 220.6 meV per atom. The uncorrected formation energy is 0.75 eV per atom.

a b c (Å): 5.4781 5.4781 5.3776
angles (deg): 90.00 90.00 90.00
With the nearest neighbours (Å) after each atom.
Space group P4/mmm (No. 123)
Asymmetric unit:
Ag  0.0000  0.0000  0.0000 (multiplicity 1)  2 I 2.69, 4 Te 2.74
Te  0.0000  0.5000  0.0000 (multiplicity 2)  2 Ag 2.74
As  0.5000  0.5000  0.5000 (multiplicity 1)  8 Te 3.84, 4 I 3.87
I  0.0000  0.0000  0.5000 (multiplicity 1)  2 Ag 2.69


[3]
Computed, not measured: TlAg2AsI6 after structural relaxation at the PBE level of DFT.

## Properties
For the uncorrected energy, the calculation gives -74.0 eV per cell. The uncorrected formation energy is -0.26 eV per atom.

a b c (Å): 7.7403 7.7403 23.3889
angles (deg): 90.00 90.00 120.00
With the nearest neighbours (Å) after each atom.
Space group R3 (No. 146, hexagonal axes)
Asymmetric unit:
Tl  0.0000  0.0000  0.0000 (multiplicity 3)  6 I 3.52-3.53, 1 Ag 3.90
Ag  0.0000  0.0000  0.1667 (multiplicity 3)  6 I 3.01-3.16
Ag  0.0000  0.0000  0.7735 (multiplicity 3)  3 I 2.76
As  0.0000  0.0000  0.5208 (multiplicity 3)  3 I 2.76
I  0.0308  0.3499  0.1015 (multiplicity 9)  2 Ag 2.76-3.01
I  0.0521  0.7065  0.2496 (multiplicity 9)  1 As 2.76


[4]
Computed, not measured: Tl2AgAsI6 after structural relaxation at the PBE level of DFT.

## Properties
For the uncorrected energy, the calculation gives -50.2 eV per cell. The uncorrected formation energy is -0.36 eV per atom.

a b c (Å): 7.9197 8.3716 13.8325
angles (deg): 90.00 124.55 90.00
With the nearest neighbours (Å) after each atom.
Space group P2_1/c (No. 14)
Asymmetric unit:
Tl  0.2179  0.0911  0.2493 (multiplicity 4)  8 I 3.49-3.89
Ag  0.0000  0.0000  0.5000 (multiplicity 2)  6 I 2.98-3.08
As  0.5000  0.0000  0.0000 (multiplicity 2)  6 I 2.90-2.92
I  0.1550  0.1901  0.9555 (multiplicity 4)  1 As 2.91, 1 Ag 3.08
I  0.2716  0.7048  0.9584 (multiplicity 4)  1 As 2.92, 1 Ag 3.05
I  0.3470  0.0090  0.7532 (multiplicity 4)  1 As 2.90, 1 Ag 2.98